Below is a geometry-optimized OsPt2 structure, with properties calculated at the PBE-GGA level.

Properties
V: 15.6 Å³ per atom
energy relative to the lowest polymorph listed for this composition: 0.345 eV/atom
energy of formation from the pure elements: 417 meV/atom

```
OsPt2
1.0
4.4475 0.0000 0.0000
-2.2238 3.8517 0.0000
0.0000 0.0000 5.4570
Os Pt
2 4
direct
0.3333 0.6667 0.2500
0.6667 0.3333 0.7500
0.0000 0.0000 0.0000
0.0000 0.0000 0.5000
0.3333 0.6667 0.7500
0.6667 0.3333 0.2500
```